# InGaRh GGA-PBE optimized geometry
# Size of the total moment: 0.00 μB/f.u.
# DOS(E_F): 1.61 states/eV/cell
# DFT formation energy: -0.269 eV per atom
data_InGaRh
_cell_length_a 3.270
_cell_length_b 4.325
_cell_length_c 4.325
_cell_angle_alpha 120.00
_cell_angle_beta 90.00
_cell_angle_gamma 90.00
_symmetry_space_group_name_H-M 'P 1'
_symmetry_Int_Tables_number 1
loop_
_symmetry_equiv_pos_as_xyz
'x,y,z'
loop_
_atom_site_label
_atom_site_fract_x
_atom_site_fract_y
_atom_site_fract_z
_atom_site_occupancy
In1 0.667 0.667 0.333 1
Rh1 0.166 0.333 0.667 1
Ga1 0.167 0.000 0.000 1


# Cd2Sb2Rh GGA-PBE optimized geometry
# Raw formation energy: 6 meV/atom
# Size of the total moment: 0.00 μB/f.u.
# DOS(E_F): 4.86 states/eV/cell
data_Cd2Sb2Rh
_cell_length_a 6.811
_cell_length_b 6.811
_cell_length_c 5.258
_cell_angle_alpha 90.00
_cell_angle_beta 90.00
_cell_angle_gamma 90.00
_symmetry_space_group_name_H-M 'P 1'
_symmetry_Int_Tables_number 1
loop_
_symmetry_equiv_pos_as_xyz
'x,y,z'
loop_
_atom_site_label
_atom_site_fract_x
_atom_site_fract_y
_atom_site_fract_z
_atom_site_occupancy
Sb1 0.653 0.153 0.000 1
Sb2 0.847 0.653 0.000 1
Sb3 0.347 0.847 0.000 1
Sb4 0.153 0.347 0.000 1
Cd1 0.328 0.172 0.500 1
Cd2 0.828 0.328 0.500 1
Cd3 0.172 0.672 0.500 1
Cd4 0.672 0.828 0.500 1
Rh1 0.000 0.000 0.000 1
Rh2 0.500 0.500 0.000 1


# Nd2Mg16Ag GGA-PBE optimized geometry
# Size of the total moment: 0.00 μB/f.u.
# DOS(E_F): 8.06 states/eV/cell
# DFT formation energy: -0.066 eV per atom
data_Nd2Mg16Ag
_cell_length_a 7.767
_cell_length_b 7.767
_cell_length_c 7.767
_cell_angle_alpha 82.20
_cell_angle_beta 82.20
_cell_angle_gamma 82.20
_symmetry_space_group_name_H-M 'P 1'
_symmetry_Int_Tables_number 1
loop_
_symmetry_equiv_pos_as_xyz
'x,y,z'
loop_
_atom_site_label
_atom_site_fract_x
_atom_site_fract_y
_atom_site_fract_z
_atom_site_occupancy
Nd1 0.329 0.329 0.329 1
Nd2 0.673 0.673 0.673 1
Mg1 0.650 0.159 0.650 1
Mg2 0.352 0.352 0.843 1
Mg3 0.301 0.700 0.000 1
Mg4 0.509 0.996 0.996 1
Mg5 0.700 0.301 0.000 1
Mg6 0.700 0.000 0.301 1
Mg7 0.301 0.000 0.700 1
Mg8 0.843 0.352 0.352 1
Mg9 0.996 0.509 0.996 1
Mg10 0.650 0.650 0.159 1
Mg11 0.159 0.650 0.650 1
Mg12 0.000 0.301 0.700 1
Mg13 0.352 0.843 0.352 1
Mg14 0.996 0.996 0.509 1
Mg15 0.090 0.090 0.090 1
Mg16 0.000 0.700 0.301 1
Ag1 0.898 0.898 0.898 1